Material: Mg4TaTl
Method: DFT, meta-GGA SCAN
State: PBEsol geometry

The structure belongs to space group F-43m (No. 216); the cell edges are 7.983, 7.983 and 7.983 Å and the angles 90.00°, 90.00° and 90.00°. The asymmetric unit holds Mg at (0.124, 0.124, 0.376), Ta at (0.250, 0.250, 0.750) and Tl at (0.000, 0.000, 0.000).

The calculation puts the energy of formation from the pure elements at 3.1 eV/f.u.